Run 1
DFT (PBE-GGA) results for RbFeCuOs after structural relaxation.

**Symmetry**: F-43m, No. 216
**Mass density**: 9.46 g/cm³

a b c (Å): 4.612 4.612 4.612
angles (deg): 60.00 60.00 60.00
Sites, in units of the cell vectors:
Cu 0.750 0.750 0.750
Fe 0.500 0.500 0.500
Rb 0.250 0.250 0.250
Os 0.000 0.000 0.000


Run 2
DFT (PBE-GGA) results for RbFeCuOs after structural relaxation.

**Symmetry**: F-43m, No. 216
**Mass density**: 9.22 g/cm³

a b c (Å): 4.652 4.652 4.652
angles (deg): 60.00 60.00 60.00
Sites, in units of the cell vectors:
Os 0.000 0.000 0.000
Cu 0.750 0.750 0.750
Fe 0.250 0.250 0.250
Rb 0.500 0.500 0.500


Most stable pick: run 2. Distance to second place: 0.306 eV/atom.